1.
Material: GaFe3I
Method: DFT, GGA-PBE
State: relaxed

The value obtained for the spin magnetization is 6.23 μB per cell. Its formation energy (no corrections) is 1.404 eV per atom. As for the distance to the lowest polymorph of the same formula: 7.30 kcal/mol of atoms.

Structure (POSCAR):
```
GaFe3I
1.0
-3.721 -2.086 1.846
1.672 -4.136 -1.303
2.228 -0.379 4.062
Ga Fe I
1 3 1
Cartesian
0.090 -3.301 2.302
-1.860 -1.043 0.923
1.114 -0.190 2.031
0.836 -2.068 -0.652
0.000 0.000 0.000
```


2.
Material: Ce3Er2Ru3
Method: DFT, GGA-PBE
State: relaxed

The calculation puts the final energy at -7.150 eV/atom. The value obtained for the spin magnetization is 1.28 μB per cell.

Structure (POSCAR):
```
Ce3Er2Ru3
1.0
-3.326 3.260 0.309
-0.545 -4.234 4.724
8.121 7.557 7.710
Ce Ru Er
6 6 4
Cartesian
6.924 6.377 7.330
4.510 3.777 9.301
-0.260 2.806 3.441
4.783 4.385 5.297
-0.533 2.197 7.445
-2.674 0.205 5.412
5.812 4.886 11.103
0.586 -0.548 5.837
2.888 2.165 8.328
-1.562 1.697 1.639
3.663 7.130 6.906
1.362 4.417 4.415
2.257 1.833 5.500
1.993 4.750 7.243
-0.320 -0.565 3.053
4.570 7.148 9.689
```


3.
Material: Na4SnO4
Method: DFT, GGA-PBE
State: relaxed

The value obtained for the spin magnetization is 0.26 μB per cell. Its formation energy (no corrections) is -1.558 eV per atom. As for the distance to the lowest polymorph of the same formula: 0.00 kcal/mol of atoms.

Structure (POSCAR):
```
Na4SnO4
1.0
5.947 -0.006 0.005
2.173 5.555 -0.001
2.904 0.135 8.475
O Na Sn
8 8 2
Cartesian
5.136 5.553 5.267
6.694 4.796 8.114
4.330 0.888 0.365
7.000 2.983 5.331
4.024 2.702 3.147
6.811 2.702 1.646
5.888 0.132 3.212
4.213 2.982 6.832
2.806 4.027 1.651
9.075 4.166 4.781
6.159 4.224 3.433
8.951 4.341 8.414
4.865 1.460 5.046
8.218 1.657 6.828
1.949 1.518 3.697
2.073 1.343 0.064
5.824 4.116 6.486
5.200 1.569 1.992
```


4.
Material: Pu2H4Pt
Method: DFT, GGA-PBE
State: relaxed

The calculation puts the final energy at -7.166 eV/atom. The value obtained for the spin magnetization is 12.15 μB per cell.

Structure (POSCAR):
```
Pu2H4Pt
1.0
-1.157 -1.970 -2.639
3.252 -0.243 -1.245
2.103 -6.939 1.950
Pu H Pt
2 4 1
Cartesian
1.362 -2.844 -0.783
2.836 -6.308 -1.151
1.706 -4.745 0.487
-0.579 -0.985 -1.319
1.626 -0.121 -0.622
2.492 -4.406 -2.420
0.000 0.000 0.000
```


5.
Material: Na2Sr3Hg
Method: DFT, GGA-PBE
State: relaxed

The calculation puts the final energy at -1.493 eV/atom. The value obtained for the spin magnetization is 0.00 μB per cell.

Structure (POSCAR):
```
Na2Sr3Hg
1.0
-4.317 -2.763 2.861
3.216 -8.287 2.871
2.791 3.820 7.900
Hg Na Sr
2 4 6
Cartesian
-0.463 -3.560 1.885
-0.638 -7.490 3.847
0.000 0.000 0.000
1.395 1.910 3.950
0.655 -5.449 7.770
1.034 -1.781 5.862
3.545 -2.866 8.603
-0.242 -2.155 9.596
-1.855 -4.363 5.030
1.932 -5.075 4.036
0.005 1.580 7.554
-1.531 -0.522 3.207
```


6.
Material: Tc2Mo3
Method: DFT, GGA-PBE
State: relaxed

The value obtained for the spin magnetization is 0.00 μB per cell. As for the distance to the lowest polymorph of the same formula: 0.35 kcal/mol of atoms.

Structure (POSCAR):
```
Tc2Mo3
1.0
11.420 -1.399 0.002
11.420 1.399 0.002
11.248 0.000 2.419
Mo Tc
3 2
Cartesian
0.000 0.000 0.000
6.888 0.000 0.490
27.201 0.000 1.934
13.626 0.000 0.969
20.463 0.000 1.455
```